(1)
An optimized crystal structure of Cs2LaAgAs. Source: the Alexandria database, functional PBE.

```
Cs2LaAgAs
1.0
7.132 0.000 0.000
0.000 5.460 0.000
0.000 0.000 7.132
La As Cs Ag
1 1 2 1
Direct
0.000 0.000 0.000
0.500 0.500 0.500
0.500 0.000 0.000
0.000 0.000 0.500
0.000 0.500 0.000
```

Calculated values
* formation energy from the elements: 0.9148 eV/atom
* calculated volume: 278 Å³/f.u.
* calculated density: 3.5 g/cm³
* density of states at the Fermi level: 1.587 states/eV/atom
* space group: P4/mmm (123)

=====

(2)
An optimized crystal structure of CsLiAgAs. Source: the Alexandria database, functional PBE.

```
CsLiAgAs
1.0
-2.868 -1.684 3.206
-3.705 -2.449 -1.272
1.389 -6.940 0.925
Cs Ag Li As
1 1 1 1
Direct
0.811 0.811 0.568
0.986 0.986 0.043
0.304 0.304 0.087
0.625 0.625 0.125
```

Calculated values
* formation energy from the elements: -0.3795 eV/atom
* calculated volume: 122 Å³/f.u.
* calculated density: 4.4 g/cm³
* density of states at the Fermi level: 0.089 states/eV/atom
* space group: R3m (160)

=====

(3)
An optimized crystal structure of Cs2MgAgAs2. Source: the Alexandria database, functional PBE.

```
Cs2MgAgAs2
1.0
-1.646 5.259 3.623
-5.394 -3.222 2.226
8.213 -4.205 3.834
As Cs Mg Ag
4 4 2 2
Direct
0.326 0.582 0.163
0.163 0.918 0.837
0.837 0.082 0.163
0.674 0.418 0.837
0.094 0.331 0.661
0.906 0.669 0.339
0.567 0.831 0.661
0.433 0.169 0.339
0.000 0.250 0.000
0.000 0.750 0.000
0.500 0.750 0.000
0.500 0.250 0.000
```

Calculated values
* formation energy from the elements: -0.3869 eV/atom
* calculated volume: 194 Å³/f.u.
* calculated density: 4.7 g/cm³
* density of states at the Fermi level: 0.833 states/eV/atom
* space group: Ibam (72)

=====

Which of these has the lowest calculated density?
Cs2LaAgAs